1.
Below is an optimized crystal structure of SrAl2Ag5, with properties calculated at the PBE level.

Summary:
DFT formation energy = -3.032 kcal/mol of atoms
Size of the total moment = 0.0 μB per formula unit

Unit cell a=4.0700 b=7.7117 c=10.7192 alpha=90.00 beta=90.00 gamma=90.00
With the nearest neighbours (Å) after each atom.
Space group Immm (No. 71)
Unique sites:
Sr  0.0000  0.0000  0.0000 (multiplicity 2)  4 Al 3.38, 8 Ag 3.50
Al  0.0000  0.5000  0.2482 (multiplicity 4)  7 Ag 2.63-2.74
Ag  0.0000  0.1924  0.3535 (multiplicity 8)  3 Al 2.63-2.74
Ag  0.0000  0.5000  0.0000 (multiplicity 2)  2 Al 2.66, 8 Ag 2.97

---

2.
Below is an optimized crystal structure of Sr3AlAg3, with properties calculated at the PBE level.

Summary:
DFT formation energy = -2.026 kcal/mol of atoms
Size of the total moment = 0.0 μB per formula unit

Unit cell a=9.4248 b=9.4248 c=6.4216 alpha=90.00 beta=90.00 gamma=120.00
With the nearest neighbours (Å) after each atom.
Space group P6_3/m (No. 176)
Unique sites:
Sr  0.0715  0.3744  0.2500 (multiplicity 6)  5 Ag 3.21-3.27
Al  0.3333  0.6667  0.7500 (multiplicity 2)  3 Ag 2.59
Ag  0.0734  0.3792  0.7500 (multiplicity 6)  1 Al 2.59

---

3.
Below is an optimized crystal structure of Sr2AlAg2, with properties calculated at the PBE level.

Summary:
DFT formation energy = -1.778 kcal/mol of atoms
Size of the total moment = 0.0 μB per formula unit

Unit cell a=3.9211 b=3.9211 c=19.2024 alpha=90.00 beta=90.00 gamma=90.00
With the nearest neighbours (Å) after each atom.
Space group I4/mmm (No. 139)
Unique sites:
Sr  0.0000  0.0000  0.1057 (multiplicity 4)  4 Ag 3.39, 4 Al 3.44
Al  0.0000  0.0000  0.5000 (multiplicity 2)  8 Sr 3.44
Ag  0.0000  0.5000  0.2500 (multiplicity 4)  4 Ag 2.77

---

4.
Below is an optimized crystal structure of SrAl3Ag6, with properties calculated at the PBE level.

Summary:
DFT formation energy = -2.815 kcal/mol of atoms
Size of the total moment = 0.0 μB per formula unit

Unit cell a=7.1775 b=7.0539 c=9.0505 alpha=90.00 beta=120.06 gamma=90.00
With the nearest neighbours (Å) after each atom.
Space group P2_1/c (No. 14)
Unique sites:
Sr  0.0000  0.0000  0.0000 (multiplicity 2)  6 Al 3.23-3.61, 10 Ag 3.26-3.56
Al  0.2567  0.1643  0.4360 (multiplicity 4)  5 Ag 2.57-2.87, 1 Al 2.82
Al  0.5000  0.0000  0.0000 (multiplicity 2)  6 Ag 2.65-2.77, 2 Al 2.82
Ag  0.1391  0.0369  0.6799 (multiplicity 4)  4 Al 2.77-2.93, 5 Ag 2.85-2.97
Ag  0.2592  0.6917  0.8777 (multiplicity 4)  2 Al 2.57-2.65, 2 Ag 2.85-2.86
Ag  0.4740  0.1788  0.2596 (multiplicity 4)  3 Al 2.74-2.77, 4 Ag 2.86-2.97

---

no.,D(E_F) (states/eV per cell)
1,8.02
2,9.41
3,5.89
4,6.58